[1]
Computed, not measured: a geometry-optimized YSiMo2 structure at the PBE level of DFT.

```
4
Lattice="-4.727 1.808 2.118 -0.208 -4.477 -3.163 -0.693 -2.095 1.901" Properties=species:S:1:pos:R:3 pbc="T T T"
Mo 0.000 0.000 0.000
Mo -2.467 -1.335 -0.523
Y -0.450 -3.286 -0.631
Si -2.710 -0.144 2.009
```

Calculated values
energy = -8.11 eV/atom
formation energy without anion corrections = 1.1 eV/f.u.

---

[2]
Computed, not measured: a geometry-optimized U2Ge4Os3 structure at the PBE level of DFT.

```
9
Lattice="-2.787 -0.280 -4.840 3.320 -4.199 1.616 -4.893 -0.335 4.425" Properties=species:S:1:pos:R:3 pbc="T T T"
Os 0.000 0.000 0.000
Os 1.660 -2.100 0.808
Os -1.394 -0.140 -2.420
Ge -3.816 -3.327 -0.776
Ge -2.522 -0.219 -0.113
Ge -0.544 -1.488 1.978
Ge -1.838 -4.596 1.315
U -0.797 -2.831 -0.965
U -3.564 -1.983 2.167
```

Calculated values
energy = -8.45 eV/atom
energy relative to the elements = -150 meV per atom

---

[3]
Computed, not measured: a geometry-optimized RbHgHO2 structure at the PBE level of DFT.

```
10
Lattice="-3.796 1.194 1.573 1.771 -2.538 6.199 1.351 6.436 -1.623" Properties=species:S:1:pos:R:3 pbc="T T T"
O -0.213 4.072 5.600
O -1.784 0.444 4.563
O -0.461 1.019 0.549
O 1.110 4.647 1.586
Hg -0.570 -1.307 5.436
Hg -1.455 -0.038 2.336
Rb -1.767 3.490 1.934
Rb 1.092 1.601 4.216
H 0.885 -1.269 3.100
H 0.000 0.000 0.000
```

Calculated values
energy = -3.69 eV/atom
energy above the most stable polymorph in this dataset = 0 meV per atom

---

[4]
Computed, not measured: a geometry-optimized KTl2Rh2 structure at the PBE level of DFT.

```
5
Lattice="4.494 0.000 0.000 0.000 4.494 0.000 2.247 2.247 6.109" Properties=species:S:1:pos:R:3 pbc="T T T"
Tl 4.494 4.494 4.561
Tl 2.247 2.247 1.548
K 0.000 0.000 0.000
Rh 4.494 2.247 3.055
Rh 2.247 4.494 3.055
```

Calculated values
energy = -3.95 eV/atom
energy above the most stable polymorph in this dataset = 76 meV per atom
energy relative to the elements = 154 meV per atom

---

[5]
Computed, not measured: a geometry-optimized CrIr2Se structure at the PBE level of DFT.

```
4
Lattice="4.555 0.000 0.000 0.000 4.555 0.000 0.000 0.000 2.924" Properties=species:S:1:pos:R:3 pbc="T T T"
Se 2.278 0.000 1.462
Ir 2.278 2.278 0.000
Ir 0.000 0.000 0.000
Cr 0.000 2.278 1.462
```

Calculated values
energy = -7.31 eV/atom
formation energy without anion corrections = 1.6 eV/f.u.

---

[6]
Computed, not measured: a geometry-optimized Nd3AlCu3 structure at the PBE level of DFT.

```
14
Lattice="-3.882 1.006 -1.400 1.550 -5.234 -1.617 -5.541 -5.227 11.610" Properties=species:S:1:pos:R:3 pbc="T T T"
Nd -4.543 -8.612 6.410
Nd -4.368 -4.312 2.570
Nd -3.505 -5.143 6.023
Nd -2.737 -2.773 -0.847
Nd -3.329 -0.843 2.184
Nd -5.136 -6.682 9.441
Al -1.941 0.503 -0.700
Al -4.711 -2.110 5.105
Cu -5.548 -6.618 4.185
Cu -1.546 -3.250 1.951
Cu -7.312 -8.282 7.880
Cu -0.561 -1.173 0.713
Cu -2.325 -2.836 4.409
Cu -6.327 -6.205 6.643
```

Calculated values
energy = -4.60 eV/atom
energy relative to the elements = -264 meV per atom

---

[7]
Computed, not measured: a geometry-optimized ErTh2P2Rh7 structure at the PBE level of DFT.

```
12
Lattice="-0.937 2.530 2.981 1.878 -2.376 2.643 11.599 6.669 -0.185" Properties=species:S:1:pos:R:3 pbc="T T T"
Rh 10.719 4.416 1.469
Rh 1.822 2.407 3.970
Rh 5.253 2.878 1.991
Rh 0.471 0.077 2.812
Rh 9.313 6.866 1.637
Rh 3.228 -0.043 3.802
Rh 7.287 3.945 3.448
P 3.269 1.718 2.298
P 9.271 5.104 3.141
Th 4.867 2.453 4.946
Th 7.673 4.369 0.493
Er 0.000 0.000 0.000
```

Calculated values
energy = -7.80 eV/atom
energy relative to the elements = -991 meV per atom

---

[8]
Computed, not measured: a geometry-optimized HfCuSi3 structure at the PBE level of DFT.

```
5
Lattice="-2.812 3.467 0.258 -1.279 -0.722 -4.224 -3.233 -2.730 1.445" Properties=species:S:1:pos:R:3 pbc="T T T"
Hf -3.662 0.007 -1.260
Si -1.617 -1.365 0.723
Si -0.639 -0.361 -2.112
Si -1.406 1.734 0.129
Cu 0.000 0.000 0.000
```

Calculated values
energy = -5.43 eV/atom
energy above the most stable polymorph in this dataset = 0 meV per atom
formation energy without anion corrections = 3.2 eV/f.u.

---

[9]
Computed, not measured: a geometry-optimized MnBeCo structure at the PBE level of DFT.

```
6
Lattice="5.970 -0.238 -0.152 4.029 3.644 -0.042 -0.541 0.628 2.621" Properties=species:S:1:pos:R:3 pbc="T T T"
Co 2.660 2.771 2.264
Co 6.979 2.367 0.369
Be 2.741 0.767 1.320
Be 4.820 0.309 0.418
Mn 4.812 2.497 1.332
Mn 0.532 1.004 2.247
```

Calculated values
energy = -6.71 eV/atom
energy above the most stable polymorph in this dataset = 111 meV per atom
energy relative to the elements = -48 meV per atom

---

[10]
Computed, not measured: a geometry-optimized NaPmTm2Hg4 structure at the PBE level of DFT.

```
8
Lattice="-4.229 -2.536 1.612 0.466 -4.025 3.238 -1.898 3.206 8.413" Properties=species:S:1:pos:R:3 pbc="T T T"
Tm -1.424 -0.761 3.414
Tm -4.236 -2.594 9.849
Pm 0.000 0.000 0.000
Na -2.830 -1.677 6.632
Hg -4.004 -4.532 7.407
Hg -2.597 -3.634 4.166
Hg -3.064 0.279 9.097
Hg -1.656 1.178 5.856
```

Calculated values
energy = -2.42 eV/atom
energy relative to the elements = -394 meV per atom

---

[11]
Computed, not measured: a geometry-optimized La4Pr3Hg4 structure at the PBE level of DFT.

```
11
Lattice="3.809 0.000 0.000 0.000 9.404 0.000 -1.905 -4.702 9.895" Properties=species:S:1:pos:R:3 pbc="T T T"
Pr 1.905 4.702 7.942
Pr 0.000 0.000 1.953
Pr 0.000 4.702 0.000
La 1.905 6.360 3.162
La 1.905 3.043 3.162
La 0.000 1.658 6.733
La 0.000 -1.658 6.733
Hg 0.000 4.702 5.328
Hg 1.905 1.951 0.000
Hg 1.905 7.453 0.000
Hg 1.905 0.000 4.567
```

Calculated values
energy = -3.50 eV/atom
energy relative to the elements = -294 meV per atom

---

[12]
Computed, not measured: a geometry-optimized Ac5Hg2IrN structure at the PBE level of DFT.

```
18
Lattice="4.283 0.000 0.000 -2.142 9.742 0.000 0.000 0.000 14.640" Properties=species:S:1:pos:R:3 pbc="T T T"
N 0.000 8.695 6.253
N 2.142 1.047 13.573
Ac 2.142 2.900 7.417
Ac 0.000 5.568 9.751
Ac 0.000 0.865 0.214
Ac 2.142 8.877 7.535
Ac 0.000 9.643 11.507
Ac 2.142 0.100 4.187
Ac 0.000 6.208 5.659
Ac 2.142 3.534 12.979
Ac 2.142 4.174 2.431
Ac 0.000 6.842 0.097
Ir 2.142 5.774 7.718
Ir 0.000 3.968 0.398
Hg 2.142 7.608 2.686
Hg 0.000 2.134 10.006
Hg 0.000 2.655 4.777
Hg 2.142 7.087 12.097
```

Calculated values
energy = -4.92 eV/atom
formation energy without anion corrections = -5.9 eV/f.u.